Entry 1:
Entry from Alexandria: an optimized crystal structure of Dy2ScHg8 (PBE-GGA).

```
11
Lattice="4.948 0.000 0.000 0.000 7.134 0.172 -2.474 -2.857 7.344" Properties=species:S:1:pos:R:3 pbc="T T T"
Dy 2.474 0.785 4.287
Dy 0.000 3.492 3.229
Sc 2.474 0.000 0.000
Hg 0.000 1.706 6.003
Hg 2.474 5.435 2.554
Hg 2.474 3.889 5.239
Hg 2.474 -0.829 7.040
Hg 0.000 0.388 2.277
Hg 0.000 -1.158 4.962
Hg 2.474 2.571 1.513
Hg 0.000 5.106 0.476
```

- formation energy (eV per atom) = -0.27
- magnetization (μB per formula unit) = 0.0

Entry 2:
Entry from Alexandria: an optimized crystal structure of Sc2MoBr (PBE-GGA).

```
4
Lattice="-3.161 0.263 -0.874 0.507 -2.293 -2.524 -1.863 -5.870 4.970" Properties=species:S:1:pos:R:3 pbc="T T T"
Br -1.920 -1.909 0.175
Mo -2.598 -5.991 1.398
Sc -1.645 -6.158 4.092
Sc -0.897 -3.793 2.101
```

- magnetization (μB per formula unit) = 0.0
- E_form (uncorrected) (eV/atom) = -0.3681

Entry 3:
Entry from Alexandria: an optimized crystal structure of Pr2Sm4H2Pb3 (PBE-GGA).

```
11
Lattice="4.821 0.000 0.000 0.000 4.821 0.000 -2.410 -2.410 13.014" Properties=species:S:1:pos:R:3 pbc="T T T"
Pr 0.000 0.000 7.840
Pr 2.410 2.410 5.174
Sm 0.000 2.410 10.861
Sm 2.410 0.000 10.861
Sm 0.000 2.410 2.153
Sm 2.410 0.000 2.153
H 0.000 0.000 10.371
H 2.410 2.410 2.643
Pb 0.000 0.000 0.000
Pb 0.000 0.000 4.528
Pb 2.410 2.410 8.486
```

- magnetization (μB per formula unit) = 0.0
- calculated total energy (eV for the cell shown) = -51.27

Entry 4:
Entry from Alexandria: an optimized crystal structure of H6PbCI3N3 (PBE-GGA).

```
56
Lattice="-0.197 7.604 -5.765 -6.801 -2.848 -3.525 -8.946 0.534 16.828" Properties=species:S:1:pos:R:3 pbc="T T T"
I -2.985 4.027 -1.754
I -12.958 1.263 9.293
I -8.143 1.139 1.056
I -7.800 4.151 6.482
I -5.864 0.263 -2.639
I -10.079 5.027 10.177
I -5.269 4.902 1.937
I -10.674 0.388 5.601
I -3.316 0.961 1.420
I -12.627 4.329 6.118
I -7.770 4.223 -2.097
I -8.173 1.067 9.635
Pb -5.560 2.589 -0.343
Pb -10.383 2.701 7.881
Pb -8.955 1.158 -2.111
Pb -6.988 4.132 9.649
C -5.372 0.813 5.212
C -10.571 4.477 2.326
C -5.925 4.282 -5.999
C -10.018 1.008 13.537
N -5.476 1.937 4.495
N -10.467 3.353 3.043
N -5.828 3.155 -5.285
N -10.115 2.135 12.823
N -6.055 0.682 6.354
N -9.888 4.608 1.184
N -5.444 4.329 -7.246
N -10.499 0.962 14.784
N -4.583 -0.180 4.787
N -11.360 5.470 2.751
N -6.502 5.364 -5.464
N -9.441 -0.074 13.002
H -4.981 2.037 3.613
H -10.962 3.254 3.925
H -6.213 3.102 -4.346
H -9.730 2.188 11.884
H -6.076 2.697 4.813
H -9.867 2.593 2.725
H -5.390 2.328 -5.687
H -10.553 2.962 13.225
H -5.960 -0.161 6.917
H -9.983 5.451 0.621
H -5.492 5.191 -7.784
H -10.451 0.099 15.322
H -6.638 1.441 6.699
H -9.305 3.849 0.839
H -13.927 4.054 9.176
H -2.016 1.236 -1.638
H -4.704 6.560 -0.448
H -11.239 -1.270 7.986
H -6.397 -1.383 -0.237
H -9.546 6.673 7.775
H -4.091 -0.102 3.900
H -11.852 5.392 3.639
H -6.904 5.324 -4.529
H -9.039 -0.033 12.067
```

- magnetization (μB per formula unit) = 0.0
- calculated total energy (eV for the cell shown) = -274.68